Below is Rb2SrCoF6 after structural relaxation, with properties calculated at the GGA+U level.

Unit cell a=6.331 b=6.331 c=6.331 alpha=120.67 beta=120.67 gamma=88.84
Fractional coordinates of all 10 atoms:
Rb (0.250, 0.750, 0.500)
Rb (0.750, 0.250, 0.500)
Sr (0.000, 0.000, 0.000)
Co (0.500, 0.500, 0.000)
F (0.264, 0.264, 0.000)
F (0.270, 0.270, 0.540)
F (0.270, 0.730, 0.000)
F (0.730, 0.270, 0.000)
F (0.730, 0.730, 0.460)
F (0.736, 0.736, 0.000)

crystal system: tetragonal
calculated density: 4.034 g/cm3
DFT total energy: -49.03 eV per cell
total moment: 3.0 Bohr magnetons per cell